PmSb2Pt7Pb2: relaxed, GGA-PBE.

- VASP energy: -5.729 eV/atom
- Energy relative to the elements, uncorrected: -11.638 kcal/mol of atoms

Lattice parameters (Å, degrees): 4.0611 4.0611 16.6550 83.06 83.06 90.03
Positions (direct):
Pt: 0.5666 0.0662 0.8658
Pt: 0.9338 0.4334 0.1342
Sb: 0.3826 0.3826 0.2379
Pt: 0.6973 0.6973 0.6029
Sb: 0.6174 0.6174 0.7621
Pt: 0.4334 0.9338 0.1342
Pm: 0.0000 0.0000 0.0000
Pt: 0.3027 0.3027 0.3971
Pb: 0.7866 0.7866 0.4277
Pt: 0.0662 0.5666 0.8658
Pt: 0.5000 0.5000 0.0000
Pb: 0.2134 0.2134 0.5723

---

PmSmPtPb: relaxed, GGA-PBE.

- VASP energy: -5.500 eV/atom
- ΔE_f: -67 kJ/mol of atoms

Lattice parameters (Å, degrees): 5.3040 5.3040 5.3040 60.00 60.00 60.00
Positions (direct):
Pb: 0.2500 0.2500 0.2500
Pm: 0.5000 0.5000 0.5000
Sm: 0.0000 0.0000 0.0000
Pt: 0.7500 0.7500 0.7500

---

SrPmPtPb: relaxed, GGA-PBE.

- VASP energy: -4.634 eV/atom
- ΔE_f: -57 kJ/mol of atoms

Lattice parameters (Å, degrees): 5.3945 5.3945 5.3945 60.00 60.00 60.00
Positions (direct):
Pm: 0.0000 0.0000 0.0000
Sr: 0.5000 0.5000 0.5000
Pb: 0.2500 0.2500 0.2500
Pt: 0.7500 0.7500 0.7500

---

PmThPtPb: relaxed, GGA-PBE.

- VASP energy: -6.025 eV/atom
- ΔE_f: -53 kJ/mol of atoms

Lattice parameters (Å, degrees): 5.3333 5.3333 5.3333 60.00 60.00 60.00
Positions (direct):
Pb: 0.2500 0.2500 0.2500
Th: 0.0000 0.0000 0.0000
Pm: 0.5000 0.5000 0.5000
Pt: 0.7500 0.7500 0.7500

---

PmTmPtPb: relaxed, GGA-PBE.

- VASP energy: -5.451 eV/atom
- ΔE_f: -68 kJ/mol of atoms

Lattice parameters (Å, degrees): 5.2244 5.2244 5.2244 60.00 60.00 60.00
Positions (direct):
Pb: 0.2500 0.2500 0.2500
Tm: 0.5000 0.5000 0.5000
Pm: 0.0000 0.0000 0.0000
Pt: 0.7500 0.7500 0.7500

---

PmYPtPb: relaxed, GGA-PBE.

- VASP energy: -5.960 eV/atom
- ΔE_f: -69 kJ/mol of atoms

Lattice parameters (Å, degrees): 5.2582 5.2582 5.2582 60.00 60.00 60.00
Positions (direct):
Pm: 0.0000 0.0000 0.0000
Y: 0.5000 0.5000 0.5000
Pb: 0.2500 0.2500 0.2500
Pt: 0.7500 0.7500 0.7500

---

Repeat the first record exactly.
PmSb2Pt7Pb2: relaxed, GGA-PBE.

- VASP energy: -5.729 eV/atom
- Energy relative to the elements, uncorrected: -11.638 kcal/mol of atoms

Lattice parameters (Å, degrees): 4.0611 4.0611 16.6550 83.06 83.06 90.03
Positions (direct):
Pt: 0.5666 0.0662 0.8658
Pt: 0.9338 0.4334 0.1342
Sb: 0.3826 0.3826 0.2379
Pt: 0.6973 0.6973 0.6029
Sb: 0.6174 0.6174 0.7621
Pt: 0.4334 0.9338 0.1342
Pm: 0.0000 0.0000 0.0000
Pt: 0.3027 0.3027 0.3971
Pb: 0.7866 0.7866 0.4277
Pt: 0.0662 0.5666 0.8658
Pt: 0.5000 0.5000 0.0000
Pb: 0.2134 0.2134 0.5723

---

Among the records above, which one has the highest VASP energy?
SrPmPtPb

---

Among the records above, which one has the lowest VASP energy?
PmThPtPb

---

Which formula does entry 1 have?
PmSb2Pt7Pb2